Record 1
Entry from Alexandria via LeMat-Bulk: crystalline RbMgTlF6 at its relaxed geometry (PBE).

CIF file:
```
data_RbMgTlF6
_symmetry_space_group_name_H-M 'I m m a'
_symmetry_Int_Tables_number 74
_symmetry_space_group_name_Hall '-I 2b 2'
_cell_length_a 7.530
_cell_length_b 8.008
_cell_length_c 10.740
_cell_angle_alpha 90.00
_cell_angle_beta 90.00
_cell_angle_gamma 90.00
loop_
_atom_site_label
_atom_site_type_symbol
_atom_site_fract_x
_atom_site_fract_y
_atom_site_fract_z
Rb1 Rb 0.000 0.250 0.067
Mg1 Mg 0.250 0.250 0.750
Tl1 Tl 0.000 0.000 0.500
F1 F 0.000 0.250 0.403
F2 F 0.000 0.250 0.788
F3 F 0.224 0.071 0.617
```

Magnetic moment   0.0 μB/f.u.
Final energy   -159.692 eV/cell
Crystal system   orthorhombic
Volume   162 Å³/f.u.
Formation energy from raw total energies   -2.641 eV per atom



Record 2
Entry from Alexandria via LeMat-Bulk: crystalline RbMgTl2F5 at its relaxed geometry (PBE).

CIF file:
```
data_RbMgTl2F5
_symmetry_space_group_name_H-M 'I m m m'
_symmetry_Int_Tables_number 71
_symmetry_space_group_name_Hall '-I 2 2'
_cell_length_a 4.006
_cell_length_b 6.381
_cell_length_c 13.321
_cell_angle_alpha 90.00
_cell_angle_beta 90.00
_cell_angle_gamma 90.00
loop_
_atom_site_label
_atom_site_type_symbol
_atom_site_fract_x
_atom_site_fract_y
_atom_site_fract_z
Rb1 Rb 0.000 0.000 0.000
Mg1 Mg 0.000 0.000 0.500
Tl1 Tl 0.000 0.500 0.209
F1 F 0.000 0.222 0.390
F2 F 0.000 0.500 0.000
```

Magnetic moment   0.0 μB/f.u.
Final energy   -79.606 eV/cell
Crystal system   orthorhombic
Volume   170 Å³/f.u.
Formation energy from raw total energies   -2.572 eV per atom